Entry from Alexandria: a geometry-optimized PmEr3Tl structure (GGA-PBE).

```
20
Lattice="-1.569 4.957 -0.984 -6.435 0.008 10.302 7.746 3.410 4.835" Properties=species:S:1:pos:R:3 pbc="T T T"
Pm 1.114 6.894 11.618
Pm -1.807 2.710 9.423
Pm 1.549 5.665 4.731
Pm -1.371 1.481 2.535
Er -3.625 1.442 5.932
Er 3.367 6.933 8.222
Er 2.565 2.747 2.636
Er -2.823 5.629 11.518
Er 2.702 3.770 7.575
Er 0.121 4.541 1.342
Er -0.379 3.834 12.812
Er -0.134 5.780 7.991
Er -0.123 2.596 6.162
Er 5.357 6.777 4.260
Er -2.960 4.605 6.578
Er -5.614 1.599 9.894
Tl 4.354 3.785 5.015
Tl 1.197 3.815 10.204
Tl -1.455 4.560 3.950
Tl -4.612 4.590 9.138
```

DFT formation energy ... -0.063 eV per atom
N(E_F) ... 24.87 states/eV per cell
Calculated density ... 9.02 Mg/m³
ΔE to the lowest computed polymorph ... 4.73 kJ/mol of atoms
Calculated volume ... 31.33 A^3/atom



Entry from Alexandria: a geometry-optimized Pm6Er12Tl structure (GGA-PBE).

```
19
Lattice="-3.231 -7.097 -3.268 3.960 1.407 -7.337 6.713 -4.428 2.611" Properties=species:S:1:pos:R:3 pbc="T T T"
Pm 3.256 -5.330 -8.284
Pm -0.598 -4.969 -3.935
Pm 4.196 -0.826 -4.716
Pm 4.185 -4.788 0.290
Pm 8.040 -5.149 -4.059
Pm 3.246 -9.292 -3.278
Er 2.553 -6.680 -5.360
Er 5.290 -4.389 -5.711
Er 5.193 -6.655 -2.933
Er 4.889 -3.438 -2.634
Er 2.152 -5.729 -2.283
Er 2.248 -3.463 -5.061
Er 3.122 -1.407 -0.503
Er 6.555 -9.215 -4.772
Er 7.272 -6.747 -7.229
Er 4.320 -8.711 -7.491
Er 0.887 -0.903 -3.222
Er 0.170 -3.372 -0.765
Tl 0.000 0.000 0.000
```

DFT formation energy ... 0.085 eV per atom
N(E_F) ... 23.02 states/eV per cell
Calculated density ... 8.47 Mg/m³
Calculated volume ... 31.80 A^3/atom



Entry from Alexandria: a geometry-optimized PmEr6Tl4 structure (GGA-PBE).

```
11
Lattice="3.744 0.000 0.000 0.000 10.007 0.000 0.000 -5.003 8.666" Properties=species:S:1:pos:R:3 pbc="T T T"
Pm 0.000 0.000 0.000
Er 0.000 5.003 0.676
Er 1.872 2.129 7.007
Er 0.000 3.087 3.995
Er 0.000 6.920 3.995
Er 1.872 -2.129 7.007
Er 1.872 0.000 3.319
Tl 1.872 5.003 5.834
Tl 1.872 2.453 1.416
Tl 1.872 7.554 1.416
Tl 0.000 0.000 5.778
```

DFT formation energy ... -0.224 eV per atom
N(E_F) ... 8.38 states/eV per cell
Calculated density ... 10.05 Mg/m³
Calculated volume ... 29.52 A^3/atom



Question: Look up the N(E_F) of the first one.
Answer: 24.87 states/eV per cell



Repeat the first record exactly.
Entry from Alexandria: a geometry-optimized PmEr3Tl structure (GGA-PBE).

```
20
Lattice="-1.569 4.957 -0.984 -6.435 0.008 10.302 7.746 3.410 4.835" Properties=species:S:1:pos:R:3 pbc="T T T"
Pm 1.114 6.894 11.618
Pm -1.807 2.710 9.423
Pm 1.549 5.665 4.731
Pm -1.371 1.481 2.535
Er -3.625 1.442 5.932
Er 3.367 6.933 8.222
Er 2.565 2.747 2.636
Er -2.823 5.629 11.518
Er 2.702 3.770 7.575
Er 0.121 4.541 1.342
Er -0.379 3.834 12.812
Er -0.134 5.780 7.991
Er -0.123 2.596 6.162
Er 5.357 6.777 4.260
Er -2.960 4.605 6.578
Er -5.614 1.599 9.894
Tl 4.354 3.785 5.015
Tl 1.197 3.815 10.204
Tl -1.455 4.560 3.950
Tl -4.612 4.590 9.138
```

DFT formation energy ... -0.063 eV per atom
N(E_F) ... 24.87 states/eV per cell
Calculated density ... 9.02 Mg/m³
ΔE to the lowest computed polymorph ... 4.73 kJ/mol of atoms
Calculated volume ... 31.33 A^3/atom



Question: What is the DFT formation energy in the first record?
Answer: -0.063 eV per atom